PBE TbRe2N5, optimized geometry; E_tot = -143.12 eV for the cell shown; SG = I4/mcm (140); formation energy (no corrections) = -0.051 eV/atom
1.0
-2.854 2.854 5.277
2.854 -2.854 5.277
2.854 2.854 -5.277
Tb Re N
2 4 10
Direct
0.250 0.250 0.000
0.750 0.750 0.000
0.154 0.654 0.807
0.346 0.154 0.500
0.654 0.846 0.500
0.846 0.346 0.193
0.000 0.000 0.000
0.024 0.229 0.500
0.229 0.729 0.206
0.271 0.476 0.500
0.476 0.976 0.206
0.500 0.500 0.000
0.524 0.024 0.794
0.729 0.524 0.500
0.771 0.271 0.794
0.976 0.771 0.500